Entry A
TaSiHgO after structural relaxation, computed with PBE-GGA.

**Space-group type**: No. 160

Cell lengths 8.739, 8.739, 8.739 Å; angles 19.29, 19.29, 19.29 degrees
Sites, in units of the cell vectors:
Ta  0.000  0.000  0.000
Si  0.458  0.458  0.458
Hg  0.567  0.567  0.567
O  0.387  0.387  0.387

Entry B
TaSiHgO after structural relaxation, computed with PBE-GGA.

**Space-group type**: No. 38

Cell lengths 2.881, 8.019, 8.019 Å; angles 25.18, 90.00, 90.00 degrees
Sites, in units of the cell vectors:
Ta  0.000  0.000  0.000
Si  0.500  0.589  0.589
Hg  0.500  0.756  0.756
O  0.500  0.910  0.910

How do the structures above rank in stability at the extremes? entry B comes first and entry A comes last.